Here is La4Y5Ho4 after structural relaxation from the Alexandria database. Energies are from PBE-GGA.

Calculated values
Symmetry = No. 87
Magnetization = 0.00 μB per formula unit
DFT formation energy = 0.029 eV/atom
Volume = 434 Å³ per cell

CIF file:
```
data_La4Y5Ho4
_symmetry_space_group_name_H-M 'P 1'
_symmetry_Int_Tables_number 1
_symmetry_space_group_name_Hall 'P 1'
_cell_length_a 5.124
_cell_length_b 9.552
_cell_length_c 9.552
_cell_angle_alpha 85.87
_cell_angle_beta 74.44
_cell_angle_gamma 74.44
loop_
_atom_site_label
_atom_site_type_symbol
_atom_site_fract_x
_atom_site_fract_y
_atom_site_fract_z
La1 La 0.382 0.696 0.540
La2 La 0.922 0.460 0.696
La3 La 0.078 0.540 0.304
La4 La 0.618 0.304 0.460
Y1 Y 0.460 0.229 0.852
Y2 Y 0.689 0.852 0.771
Y3 Y 0.540 0.771 0.148
Y4 Y 0.000 0.000 0.000
Y5 Y 0.311 0.148 0.229
Ho1 Ho 0.230 0.617 0.924
Ho2 Ho 0.847 0.924 0.383
Ho3 Ho 0.153 0.076 0.617
Ho4 Ho 0.770 0.383 0.076
```